Below is a geometry-optimized CsRu3Au structure, with properties calculated at the PBE level.

The space group is Pm-3m (No. 221) and the conventional cell measures 5.115, 5.115 and 5.115 Å, with angles of 90.00, 90.00 and 90.00 degrees. The distinct sites, in fractional coordinates, are Cs at (0.000, 0.000, 0.000), Ru at (0.000, 0.500, 0.500) and Au at (0.500, 0.500, 0.500).

The value obtained for the calculated volume is 26.76 Å³ per atom. As for the energy of formation: 1.97 eV per atom. The density of states at the Fermi level is 12.38 states/eV/f.u.


Below is a geometry-optimized AgAs2Ru2 structure, with properties calculated at the PBE level.

The space group is I4/mmm (No. 139) and the conventional cell measures 3.901, 3.901 and 11.262 Å, with angles of 90.00, 90.00 and 90.00 degrees. The distinct sites, in fractional coordinates, are Ag at (0.000, 0.000, 0.000), As at (0.000, 0.500, 0.250) and Ru at (0.000, 0.000, 0.382).

The value obtained for the calculated volume is 17.14 Å³ per atom. As for the energy of formation: 0.13 eV per atom. The density of states at the Fermi level is 2.13 states/eV/f.u.


Below is a geometry-optimized LiHo5Bi4 structure, with properties calculated at the PBE level.

The space group is I4 (No. 79) and the conventional cell measures 9.795, 9.795 and 6.328 Å, with angles of 90.00, 90.00 and 90.00 degrees. The distinct sites, in fractional coordinates, are Li at (0.000, 0.000, 0.000), Ho at (0.000, 0.000, 0.513), Ho at (0.097, 0.307, 0.201) and Bi at (0.099, 0.287, 0.700).

The value obtained for the calculated volume is 30.36 Å³ per atom. As for the energy of formation: -0.56 eV per atom. The density of states at the Fermi level is 6.96 states/eV/f.u.


Below is a geometry-optimized CoNiGePd structure, with properties calculated at the PBE level.

The space group is F-43m (No. 216) and the conventional cell measures 5.898, 5.898 and 5.898 Å, with angles of 90.00, 90.00 and 90.00 degrees. The distinct sites, in fractional coordinates, are Co at (0.000, 0.000, 0.000), Ni at (0.000, 0.000, 0.500), Ge at (0.250, 0.250, 0.750) and Pd at (0.250, 0.250, 0.250).

The value obtained for the calculated volume is 12.82 Å³ per atom. As for the energy of formation: -0.08 eV per atom. The density of states at the Fermi level is 5.69 states/eV/f.u.


Below is a geometry-optimized LiTcPb2 structure, with properties calculated at the PBE level.

The space group is Fm-3m (No. 225) and the conventional cell measures 6.844, 6.844 and 6.844 Å, with angles of 90.00, 90.00 and 90.00 degrees. The distinct sites, in fractional coordinates, are Li at (0.000, 0.000, 0.000), Tc at (0.000, 0.000, 0.500) and Pb at (0.250, 0.250, 0.250).

The value obtained for the calculated volume is 20.03 Å³ per atom. As for the energy of formation: 0.33 eV per atom. The density of states at the Fermi level is 2.53 states/eV/f.u.


Below is a geometry-optimized Eu3Sn2S7 structure, with properties calculated at the PBE level.

The space group is Pbam (No. 55) and the conventional cell measures 11.386, 12.646 and 4.001 Å, with angles of 90.00, 90.00 and 90.00 degrees. The distinct sites, in fractional coordinates, are Eu at (0.000, 0.000, 0.000), Eu at (0.118, 0.347, 0.000), Sn at (0.211, 0.608, 0.500), S at (0.000, 0.500, 0.500), S at (0.082, 0.178, 0.500), S at (0.144, 0.712, 0.000) and S at (0.202, 0.930, 0.500).

As for the energy relative to the elements, uncorrected: -15.1 eV per formula unit. The value obtained for the calculated volume is 24.01 Å³ per atom. The density of states at the Fermi level is 41.88 states/eV/f.u.


Below is a geometry-optimized MgAuC3 structure, with properties calculated at the PBE level.

The space group is Pm-3m (No. 221) and the conventional cell measures 4.172, 4.172 and 4.172 Å, with angles of 90.00, 90.00 and 90.00 degrees. The distinct sites, in fractional coordinates, are Mg at (0.000, 0.000, 0.000), Au at (0.500, 0.500, 0.500) and C at (0.000, 0.500, 0.500).

The value obtained for the calculated volume is 14.53 Å³ per atom. As for the energy of formation: 2.76 eV per atom. The density of states at the Fermi level is 4.55 states/eV/f.u.


Below is a geometry-optimized Ni2TePd8 structure, with properties calculated at the PBE level.

The space group is Pmmm (No. 47) and the conventional cell measures 3.518, 5.575 and 9.040 Å, with angles of 90.00, 90.00 and 90.00 degrees. The distinct sites, in fractional coordinates, are Ni at (0.000, 0.249, 0.000), Te at (0.500, 0.000, 0.500), Pd at (0.000, 0.257, 0.336), Pd at (0.500, 0.000, 0.151) and Pd at (0.500, 0.500, 0.152).

As for the energy relative to the elements, uncorrected: 0.1 eV per formula unit. The value obtained for the calculated volume is 16.12 Å³ per atom. The density of states at the Fermi level is 12.92 states/eV/f.u.


Below is a geometry-optimized Pr4TeP2 structure, with properties calculated at the PBE level.

The space group is R-3m (No. 166, hexagonal axes) and the conventional cell measures 4.2052, 4.2052 and 42.2250 Å, with angles of 90.00, 90.00 and 120.00 degrees. The distinct sites, in fractional coordinates, are Pr at (0.0000, 0.0000, 0.1271), Pr at (0.0000, 0.0000, 0.2826), Te at (0.0000, 0.0000, 0.0000) and P at (0.0000, 0.0000, 0.4224).

As for the energy relative to the elements, uncorrected: -9.0 eV per formula unit. The value obtained for the calculated volume is 30.79 Å³ per atom. The density of states at the Fermi level is 4.01 states/eV/f.u.


Below is a geometry-optimized Ba5Cd4Ag structure, with properties calculated at the PBE level.

The space group is P4/mmm (No. 123) and the conventional cell measures 4.195, 4.195 and 21.566 Å, with angles of 90.00, 90.00 and 90.00 degrees. The distinct sites, in fractional coordinates, are Ba at (0.000, 0.000, 0.000), Ba at (0.000, 0.000, 0.202), Ba at (0.000, 0.000, 0.405), Cd at (0.500, 0.500, 0.102), Cd at (0.500, 0.500, 0.303) and Ag at (0.500, 0.500, 0.500).

The value obtained for the calculated volume is 37.95 Å³ per atom. As for the energy of formation: -0.30 eV per atom. The density of states at the Fermi level is 8.40 states/eV/f.u.


Below is a geometry-optimized Th3Pt2Au structure, with properties calculated at the PBE level.

The space group is R-3c (No. 167, hexagonal axes) and the conventional cell measures 7.4808, 7.4808 and 20.1346 Å, with angles of 90.00, 90.00 and 120.00 degrees. The distinct sites, in fractional coordinates, are Th at (0.0000, 0.2990, 0.2500), Pt at (0.0000, 0.0000, 0.1511) and Au at (0.0000, 0.0000, 0.0000).

The value obtained for the calculated volume is 27.11 Å³ per atom. As for the energy of formation: -0.93 eV per atom. The density of states at the Fermi level is 6.14 states/eV/f.u.


Below is a geometry-optimized ZnAgP2O6 structure, with properties calculated at the PBE level.

The space group is C2/c (No. 15) and the conventional cell measures 11.606, 10.095 and 4.835 Å, with angles of 90.00, 111.69 and 90.00 degrees. The distinct sites, in fractional coordinates, are Zn at (0.000, 0.201, 0.250), Ag at (0.000, 0.067, 0.750), P at (0.196, 0.404, 0.716), O at (0.079, 0.325, 0.579), O at (0.181, 0.166, 0.203) and O at (0.190, 0.467, 0.016).

As for the energy relative to the elements, uncorrected: -16.2 eV per formula unit. The value obtained for the calculated volume is 13.16 Å³ per atom.


Below is a geometry-optimized Li3Ac2ScSe6 structure, with properties calculated at the PBE level.

The space group is C2/m (No. 12) and the conventional cell measures 17.786, 4.201 and 7.886 Å, with angles of 90.00, 91.10 and 90.00 degrees. The distinct sites, in fractional coordinates, are Li at (0.000, 0.000, 0.000), Li at (0.122, 0.500, 0.234), Ac at (0.193, 0.500, 0.754), Sc at (0.000, 0.000, 0.500), Se at (0.016, 0.500, 0.731), Se at (0.155, 0.000, 0.471) and Se at (0.156, 0.000, 0.025).

As for the energy relative to the elements, uncorrected: -19.9 eV per formula unit. The value obtained for the calculated volume is 24.55 Å³ per atom.


Below is a geometry-optimized Sr6HgPb5 structure, with properties calculated at the PBE level.

The space group is Cmmm (No. 65) and the conventional cell measures 5.891, 17.710 and 7.961 Å, with angles of 90.00, 90.00 and 90.00 degrees. The distinct sites, in fractional coordinates, are Sr at (0.000, 0.000, 0.248), Sr at (0.000, 0.334, 0.245), Hg at (0.000, 0.500, 0.000), Pb at (0.000, 0.162, 0.000), Pb at (0.000, 0.167, 0.500) and Pb at (0.000, 0.500, 0.500).

The value obtained for the calculated volume is 34.60 Å³ per atom. As for the energy of formation: -0.54 eV per atom. The density of states at the Fermi level is 5.17 states/eV/f.u.


Below is a geometry-optimized LiAsClF2 structure, with properties calculated at the PBE level.

The space group is P4/mmm (No. 123) and the conventional cell measures 4.848, 4.848 and 4.247 Å, with angles of 90.00, 90.00 and 90.00 degrees. The distinct sites, in fractional coordinates, are Li at (0.000, 0.000, 0.000), As at (0.500, 0.500, 0.000), Cl at (0.000, 0.000, 0.500) and F at (0.000, 0.500, 0.500).

As for the energy relative to the elements, uncorrected: -1.2 eV per formula unit. The value obtained for the calculated volume is 19.96 Å³ per atom. The density of states at the Fermi level is 2.94 states/eV/f.u.


Below is a geometry-optimized Hf2ScZn2 structure, with properties calculated at the PBE level.

The space group is P2_1/m (No. 11) and the conventional cell measures 3.263, 4.755 and 12.491 Å, with angles of 90.00, 97.52 and 90.00 degrees. The distinct sites, in fractional coordinates, are Hf at (0.044, 0.250, 0.089), Hf at (0.234, 0.250, 0.467), Sc at (0.149, 0.750, 0.300), Zn at (0.364, 0.750, 0.728) and Zn at (0.447, 0.250, 0.894).

The value obtained for the calculated volume is 19.21 Å³ per atom. As for the energy of formation: -0.20 eV per atom. The density of states at the Fermi level is 3.33 states/eV/f.u.


Below is a geometry-optimized Cd2CoHg structure, with properties calculated at the PBE level.

The space group is Pm (No. 6) and the conventional cell measures 3.016, 4.398 and 5.967 Å, with angles of 90.00, 104.56 and 90.00 degrees. The distinct sites, in fractional coordinates, are Cd at (0.000, 0.000, 0.000), Cd at (0.349, 0.500, 0.697), Co at (0.588, 0.500, 0.176) and Hg at (0.725, 0.000, 0.452).

The value obtained for the calculated volume is 19.15 Å³ per atom. As for the energy of formation: 0.31 eV per atom. The density of states at the Fermi level is 3.89 states/eV/f.u.


Below is a geometry-optimized Pm2MnVN5 structure, with properties calculated at the PBE level.

The space group is Cmc2_1 (No. 36) and the conventional cell measures 3.294, 13.825 and 9.906 Å, with angles of 90.00, 90.00 and 90.00 degrees. The distinct sites, in fractional coordinates, are Pm at (0.000, 0.120, 0.000), Pm at (0.000, 0.133, 0.635), Mn at (0.000, 0.212, 0.348), V at (0.000, 0.437, 0.773), N at (0.000, 0.049, 0.361), N at (0.000, 0.292, 0.974), N at (0.000, 0.313, 0.710), N at (0.000, 0.346, 0.328) and N at (0.000, 0.498, 0.619).

As for the energy relative to the elements, uncorrected: -8.6 eV per formula unit. The value obtained for the calculated volume is 12.53 Å³ per atom. The density of states at the Fermi level is 2.45 states/eV/f.u.


Below is a geometry-optimized KPmTeS structure, with properties calculated at the PBE level.

The space group is Cm (No. 8) and the conventional cell measures 7.492, 4.326 and 8.501 Å, with angles of 90.00, 107.20 and 90.00 degrees. The distinct sites, in fractional coordinates, are K at (0.000, 0.000, 0.000), Pm at (0.345, 0.500, 0.532), Te at (0.432, 0.000, 0.294) and S at (0.237, 0.000, 0.706).

As for the energy relative to the elements, uncorrected: -6.3 eV per formula unit. The value obtained for the calculated volume is 32.90 Å³ per atom. The density of states at the Fermi level is 0.00 states/eV/f.u.


Below is a geometry-optimized CsPm2Bi2O6 structure, with properties calculated at the PBE level.

The space group is P-1 (No. 2) and the conventional cell measures 6.558, 6.559 and 7.336 Å, with angles of 96.16, 111.27 and 117.27 degrees. The distinct sites, in fractional coordinates, are Cs at (0.000, 0.000, 0.000), Pm at (0.343, 0.668, 0.032), Bi at (0.291, 0.643, 0.539), O at (0.095, 0.637, 0.204), O at (0.353, 0.911, 0.782) and O at (0.470, 0.520, 0.799).

As for the energy relative to the elements, uncorrected: -21.8 eV per formula unit. The value obtained for the calculated volume is 22.43 Å³ per atom. The density of states at the Fermi level is 2.14 states/eV/f.u.